Entry 1:
HfV2NiAu: optimized geometry, PBE.

The value obtained for the total energy is -5.978 eV/atom. The calculation puts the formation energy at 1.472 eV/atom. The value obtained for the magnetization is 2.99 Bohr magnetons per cell.

Cell lengths 4.6993, 4.6993, 4.4820 Å; angles 90.00, 90.00, 90.00 degrees
With the nearest neighbours (Å) after each atom.
Sites, in units of the cell vectors:
Hf 0.0000 0.0000 0.0000  2 Ni 2.24, 4 V 2.35
V 0.0000 0.5000 0.0000  2 Hf 2.35
V 0.5000 0.0000 0.0000  2 Hf 2.35
Ni 0.0000 0.0000 0.5000  2 Hf 2.24
Au 0.5000 0.5000 0.5000  8 V 3.25, 4 Ni 3.32

---

Entry 2:
Hf2NpAu: optimized geometry, PBE.

As for the energy above the lowest structure with this stoichiometry: 0.16 eV per formula unit. The value obtained for the total energy is -9.049 eV/atom. The calculation puts the formation energy at -0.018 eV/atom. The value obtained for the magnetization is 3.68 Bohr magnetons per cell.

Cell lengths 5.0696, 5.0696, 3.1747 Å; angles 90.00, 90.00, 90.00 degrees
With the nearest neighbours (Å) after each atom.
Sites, in units of the cell vectors:
Hf 0.0000 0.5000 0.0000  4 Np 2.99, 4 Au 2.99, 2 Hf 3.17
Hf 0.5000 0.0000 0.0000  4 Np 2.99, 4 Au 2.99, 2 Hf 3.17
Np 0.0000 0.0000 0.5000  8 Hf 2.99, 2 Np 3.17
Au 0.5000 0.5000 0.5000  8 Hf 2.99, 2 Au 3.17

---

Entry 3:
Hf2NpAu: optimized geometry, PBE.

As for the energy above the lowest structure with this stoichiometry: 0.00 eV per formula unit. The value obtained for the total energy is -9.088 eV/atom. The calculation puts the formation energy at -0.057 eV/atom. The value obtained for the magnetization is 3.52 Bohr magnetons per cell.

Cell lengths 3.2146, 3.2146, 8.2321 Å; angles 90.00, 90.00, 90.00 degrees
With the nearest neighbours (Å) after each atom.
Sites, in units of the cell vectors:
Hf 0.0000 0.0000 0.2320  4 Au 2.97, 4 Np 3.17, 4 Hf 3.21
Hf 0.0000 0.0000 0.7680  4 Au 2.97, 4 Np 3.17, 4 Hf 3.21
Np 0.5000 0.5000 0.5000  8 Hf 3.17, 4 Np 3.21
Au 0.5000 0.5000 0.0000  8 Hf 2.97, 4 Au 3.21

---

Entry 4:
HfNpAuO6: optimized geometry, PBE.

The value obtained for the total energy is -8.422 eV/atom. Its formation energy without anion corrections is -2.209 eV/atom. The value obtained for the magnetization is 0.02 Bohr magnetons per cell.

Cell lengths 5.6156, 5.6156, 9.6626 Å; angles 90.00, 90.00, 120.00 degrees
With the nearest neighbours (Å) after each atom.
Sites, in units of the cell vectors:
Hf 0.3333 0.6667 0.2500  6 O 2.09
Hf 0.6667 0.3333 0.7500  6 O 2.09
Np 0.3333 0.6667 0.7500  6 O 2.05
Np 0.6667 0.3333 0.2500  6 O 2.05
Au 0.0000 0.0000 0.0000  6 O 2.48
Au 0.0000 0.0000 0.5000  6 O 2.48
O 0.0061 0.3745 0.6396  1 Np 2.05, 1 Hf 2.09
O 0.0061 0.6315 0.8604  1 Np 2.05, 1 Hf 2.09
O 0.3685 0.3745 0.8604  1 Np 2.05, 1 Hf 2.09
O 0.3685 0.9939 0.6396  1 Np 2.05, 1 Hf 2.09
O 0.3745 0.0061 0.1396  1 Np 2.05, 1 Hf 2.09
O 0.3745 0.3685 0.3604  1 Np 2.05, 1 Hf 2.09
O 0.6255 0.6315 0.6396  1 Np 2.05, 1 Hf 2.09
O 0.6255 0.9939 0.8604  1 Np 2.05, 1 Hf 2.09
O 0.6315 0.0061 0.3604  1 Np 2.05, 1 Hf 2.09
O 0.6315 0.6255 0.1396  1 Np 2.05, 1 Hf 2.09
O 0.9939 0.3685 0.1396  1 Np 2.05, 1 Hf 2.09
O 0.9939 0.6255 0.3604  1 Np 2.05, 1 Hf 2.09

---

Entry 5:
HfAu3O: optimized geometry, PBE.

As for the energy above the lowest structure with this stoichiometry: 0.00 eV per formula unit. The value obtained for the total energy is -4.527 eV/atom. Its formation energy without anion corrections is 0.421 eV/atom. The value obtained for the magnetization is 0.63 Bohr magnetons per cell.

Cell lengths 4.4924, 4.4924, 4.4924 Å; angles 90.00, 90.00, 90.00 degrees
With the nearest neighbours (Å) after each atom.
Sites, in units of the cell vectors:
Hf 0.0000 0.0000 0.0000  12 Au 3.18
Au 0.0000 0.5000 0.5000  2 O 2.25
Au 0.5000 0.0000 0.5000  2 O 2.25
Au 0.5000 0.5000 0.0000  2 O 2.25
O 0.5000 0.5000 0.5000  6 Au 2.25

---

Entry 6:
Hf6Au2O: optimized geometry, PBE.

The value obtained for the total energy is -8.663 eV/atom. Its formation energy without anion corrections is -0.749 eV/atom. The value obtained for the magnetization is 0.00 Bohr magnetons per cell.

Cell lengths 5.7955, 6.2288, 11.0331 Å; angles 90.00, 119.08, 90.00 degrees
With the nearest neighbours (Å) after each atom.
Sites, in units of the cell vectors:
Hf 0.1105 0.0155 0.2522  1 O 2.54, 1 Au 2.79
Hf 0.1105 0.4845 0.7522  1 O 2.54, 1 Au 2.79
Hf 0.1920 0.6847 0.0352  1 O 2.20
Hf 0.1920 0.8153 0.5352  1 O 2.20
Hf 0.3629 0.1948 0.0263  1 O 2.32
Hf 0.3629 0.3052 0.5263  1 O 2.32
Hf 0.6371 0.6948 0.4737  1 O 2.32
Hf 0.6371 0.8052 0.9737  1 O 2.32
Hf 0.8080 0.1847 0.4648  1 O 2.20
Hf 0.8080 0.3153 0.9648  1 O 2.20
Hf 0.8895 0.5155 0.2478  1 O 2.54, 1 Au 2.79
Hf 0.8895 0.9845 0.7478  1 O 2.54, 1 Au 2.79
Au 0.3693 0.1062 0.7530  7 Hf 2.78-3.08
Au 0.3693 0.3938 0.2530  7 Hf 2.78-3.08
Au 0.6307 0.6062 0.7470  7 Hf 2.78-3.08
Au 0.6307 0.8938 0.2470  7 Hf 2.78-3.08
O 0.0000 0.0000 0.0000  4 Hf 2.20-2.32
O 0.0000 0.5000 0.5000  4 Hf 2.20-2.32

---

Entry 7:
HfAu3O: optimized geometry, PBE.

As for the energy above the lowest structure with this stoichiometry: 3.60 eV per formula unit. The value obtained for the total energy is -3.807 eV/atom. Its formation energy without anion corrections is 1.142 eV/atom. The value obtained for the magnetization is 1.38 Bohr magnetons per cell.

Cell lengths 5.2728, 5.2728, 5.2728 Å; angles 90.00, 90.00, 90.00 degrees
With the nearest neighbours (Å) after each atom.
Sites, in units of the cell vectors:
Hf 0.0000 0.0000 0.0000  6 Au 2.64
Au 0.0000 0.0000 0.5000  2 Hf 2.64
Au 0.0000 0.5000 0.0000  2 Hf 2.64
Au 0.5000 0.0000 0.0000  2 Hf 2.64
O 0.5000 0.5000 0.5000  12 Au 3.73

---

Entry 8:
Hf4Au2O: optimized geometry, PBE.

The value obtained for the total energy is -8.250 eV/atom. Its formation energy without anion corrections is -0.917 eV/atom. The value obtained for the magnetization is 0.00 Bohr magnetons per cell.

Cell lengths 7.8798, 7.8798, 7.8798 Å; angles 148.66, 148.66, 44.91 degrees
With the nearest neighbours (Å) after each atom.
Sites, in units of the cell vectors:
Hf 0.0000 0.5000 0.5000  2 O 2.13
Hf 0.1787 0.1787 0.0000  1 O 2.60, 1 Au 2.71
Hf 0.5000 0.0000 0.5000  2 O 2.13
Hf 0.8213 0.8213 0.0000  1 O 2.60, 1 Au 2.71
Au 0.3644 0.3644 0.0000  5 Hf 2.71-2.90
Au 0.6356 0.6356 0.0000  5 Hf 2.71-2.90
O 0.0000 0.0000 0.0000  4 Hf 2.13

---

Entry 9:
Hf6AuO: optimized geometry, PBE.

The value obtained for the total energy is -9.214 eV/atom. Its formation energy without anion corrections is -0.719 eV/atom. The value obtained for the magnetization is 0.00 Bohr magnetons per cell.

Cell lengths 5.0919, 5.6968, 5.8847 Å; angles 98.54, 113.06, 91.17 degrees
With the nearest neighbours (Å) after each atom.
Sites, in units of the cell vectors:
Hf 0.0630 0.2947 0.1457  1 O 2.37
Hf 0.2220 0.8364 0.4666  1 O 2.28
Hf 0.3996 0.3805 0.7416  1 O 2.17
Hf 0.6004 0.6195 0.2584  1 O 2.17
Hf 0.7780 0.1636 0.5334  1 O 2.28
Hf 0.9370 0.7053 0.8543  1 O 2.37
Au 0.5000 0.0000 0.0000  6 Hf 2.77-3.04
O 0.0000 0.5000 0.5000  6 Hf 2.17-2.37

---

Entry 10:
HfAuO2: optimized geometry, PBE.

The value obtained for the total energy is -6.379 eV/atom. Its formation energy without anion corrections is -0.592 eV/atom. The value obtained for the magnetization is 0.00 Bohr magnetons per cell.

Cell lengths 6.4049, 6.4049, 6.4049 Å; angles 32.45, 32.45, 32.45 degrees
With the nearest neighbours (Å) after each atom.
Sites, in units of the cell vectors:
Hf 0.0000 0.0000 0.0000  2 O 1.98
Au 0.5000 0.5000 0.5000  6 O 2.32
O 0.1089 0.1089 0.1089  1 Hf 1.98
O 0.8911 0.8911 0.8911  1 Hf 1.98

---

Entry 11:
HfAuO3: optimized geometry, PBE.

The value obtained for the total energy is -5.724 eV/atom. Its formation energy without anion corrections is -0.103 eV/atom. The value obtained for the magnetization is 0.05 Bohr magnetons per cell.

Cell lengths 4.0584, 4.0584, 4.0584 Å; angles 90.00, 90.00, 90.00 degrees
With the nearest neighbours (Å) after each atom.
Sites, in units of the cell vectors:
Hf 0.0000 0.0000 0.0000  12 O 2.87
Au 0.5000 0.5000 0.5000  6 O 2.03
O 0.0000 0.5000 0.5000  2 Au 2.03
O 0.5000 0.0000 0.5000  2 Au 2.03
O 0.5000 0.5000 0.0000  2 Au 2.03

---

Entry 12:
HfAuO2: optimized geometry, PBE.

The value obtained for the total energy is -6.759 eV/atom. Its formation energy without anion corrections is -0.972 eV/atom. The value obtained for the magnetization is 0.00 Bohr magnetons per cell.

Cell lengths 4.1218, 4.1218, 4.1218 Å; angles 60.00, 60.00, 60.00 degrees
With the nearest neighbours (Å) after each atom.
Sites, in units of the cell vectors:
Hf 0.0000 0.0000 0.0000  8 O 2.52
Au 0.5000 0.5000 0.5000  8 O 2.52
O 0.2500 0.2500 0.2500  4 Au 2.52, 4 Hf 2.52
O 0.7500 0.7500 0.7500  4 Au 2.52, 4 Hf 2.52

---

Q: Which of these has the highest magnetization?
A: number 2

---

Q: Among the records above, which one has the highest magnetization?
A: number 2

---

Copy entry 8 word for word.
Hf4Au2O: optimized geometry, PBE.

The value obtained for the total energy is -8.250 eV/atom. Its formation energy without anion corrections is -0.917 eV/atom. The value obtained for the magnetization is 0.00 Bohr magnetons per cell.

Cell lengths 7.8798, 7.8798, 7.8798 Å; angles 148.66, 148.66, 44.91 degrees
With the nearest neighbours (Å) after each atom.
Sites, in units of the cell vectors:
Hf 0.0000 0.5000 0.5000  2 O 2.13
Hf 0.1787 0.1787 0.0000  1 O 2.60, 1 Au 2.71
Hf 0.5000 0.0000 0.5000  2 O 2.13
Hf 0.8213 0.8213 0.0000  1 O 2.60, 1 Au 2.71
Au 0.3644 0.3644 0.0000  5 Hf 2.71-2.90
Au 0.6356 0.6356 0.0000  5 Hf 2.71-2.90
O 0.0000 0.0000 0.0000  4 Hf 2.13